VASP calculation (PBE) on a relaxed structure of La6Hg5I.

```
data_La6Hg5I
_cell_length_a 17.6616
_cell_length_b 7.7510
_cell_length_c 5.5535
_cell_angle_alpha 90.00
_cell_angle_beta 108.22
_cell_angle_gamma 90.00
_symmetry_space_group_name_H-M 'C 1 2/m 1'
_symmetry_Int_Tables_number 12
loop_
_symmetry_equiv_pos_as_xyz
'x,y,z'
'-x,-y,-z'
'-x,y,-z'
'x,-y,z'
'x+1/2,y+1/2,z'
'-x+1/2,-y+1/2,-z'
'-x+1/2,y+1/2,-z'
'x+1/2,-y+1/2,z'
loop_
_atom_site_label
_atom_site_fract_x
_atom_site_fract_y
_atom_site_fract_z
La1 0.0000 0.2498 0.0000
La2 0.1675 0.2499 0.6672
Hg1 0.0000 0.0000 0.5000
Hg2 0.1649 0.0000 0.1647
Hg3 0.1758 0.5000 0.1756
I1 0.0000 0.5000 0.5000
```

Total magnetic moment: 0.0000 μB/atom
Formation energy without anion corrections: -0.541 eV per atom
Crystal system: monoclinic
Final energy: -3.26 eV/atom